Tl2SiTeMo: optimized geometry, PBE-GGA.

Calculated values
The calculation puts the formation energy from raw total energies at 3.2 eV/f.u.

abc: 5.549 5.549 4.760
angles: 90.00 90.00 90.00
Fractional coordinates of all 5 atoms:
Tl 0.000 0.500 0.000
Tl 0.500 0.000 0.000
Si 0.000 0.000 0.500
Te 0.500 0.500 0.500
Mo 0.000 0.000 0.000

=====

ScZn2Br: optimized geometry, PBE-GGA.

Calculated values
Its energy above the most stable polymorph in this dataset is 259 meV per atom. The calculation puts the formation energy from raw total energies at -0.5 eV/f.u.

abc: 6.354 6.354 6.354
angles: 100.19 100.19 130.25
Fractional coordinates of all 8 atoms:
Sc 0.000 0.000 0.000
Sc 0.750 0.250 0.500
Zn 0.113 0.625 0.988
Zn 0.375 0.363 0.488
Zn 0.637 0.125 0.012
Zn 0.875 0.887 0.512
Br 0.250 0.750 0.500
Br 0.500 0.500 0.000

=====

Nd2MgBePt6: optimized geometry, PBE-GGA.

Calculated values
Its formation energy is -808.3 meV/atom.

abc: 5.726 5.726 7.556
angles: 112.35 112.35 59.95
Fractional coordinates of all 10 atoms:
Nd 0.214 0.214 0.142
Nd 0.786 0.786 0.858
Mg 0.500 0.500 0.000
Be 0.000 0.000 0.500
Pt 0.239 0.239 0.701
Pt 0.239 0.724 0.702
Pt 0.276 0.761 0.298
Pt 0.724 0.239 0.702
Pt 0.761 0.276 0.298
Pt 0.761 0.761 0.299

=====

RbHfCuTc2: optimized geometry, PBE-GGA.

Calculated values
Its formation energy is 1935.3 meV/atom.

abc: 4.887 4.887 6.478
angles: 90.00 90.00 90.00
Fractional coordinates of all 5 atoms:
Rb 0.000 0.000 0.000
Hf 0.000 0.000 0.500
Cu 0.500 0.500 0.000
Tc 0.000 0.500 0.500
Tc 0.500 0.000 0.500

=====

Number 1: Fermi-level density of states 5.01 states/eV/f.u.. Number 2: Fermi-level density of states 3.15 states/eV/f.u.. Number 3: Fermi-level density of states 3.15 states/eV/f.u.. Number 4: Fermi-level density of states 3.36 states/eV/f.u..